[1]
First-principles (PBE-GGA) data for a geometry-optimized CdTeSe2 structure, as listed in Alexandria via LeMat-Bulk.

Calculated values
* N(E_F): 1.9 states/eV per cell
* space group: No. 65
* E: -2.755 eV per atom

Cell: 4.3582 4.3582 7.7256 Å, 90.00 90.00 125.45°
Sites, in units of the cell vectors:
Cd1 0.0000 0.0000 0.0000
Te1 0.0000 0.0000 0.5000
Se1 0.5000 0.5000 0.2440
Se2 0.5000 0.5000 0.7560

[2]
First-principles (PBE-GGA) data for a geometry-optimized Cd2TeSe structure, as listed in Alexandria via LeMat-Bulk.

Calculated values
* N(E_F): 2.5 states/eV per cell
* space group: No. 123
* energy above the lowest structure with this stoichiometry: 0.545 eV/atom

Cell: 3.5751 3.5751 7.7701 Å, 90.00 90.00 90.00°
Sites, in units of the cell vectors:
Cd1 0.0000 0.0000 0.2146
Cd2 0.0000 0.0000 0.7854
Te1 0.5000 0.5000 0.5000
Se1 0.5000 0.5000 0.0000

[3]
First-principles (PBE-GGA) data for a geometry-optimized Cd2TeSe structure, as listed in Alexandria via LeMat-Bulk.

Calculated values
* N(E_F): 1.8 states/eV per cell
* space group: No. 35
* energy above the lowest structure with this stoichiometry: 0.630 eV/atom

Cell: 3.2498 3.2498 10.1139 Å, 90.00 90.00 102.75°
Sites, in units of the cell vectors:
Cd1 0.0000 0.0000 0.0000
Cd2 0.5000 0.5000 0.2273
Te1 0.0000 0.0000 0.4725
Se1 0.5000 0.5000 0.8108

[4]
First-principles (PBE-GGA) data for a geometry-optimized Cd4TeSe structure, as listed in Alexandria via LeMat-Bulk.

Calculated values
* N(E_F): 3.8 states/eV per cell
* space group: No. 216
* E: -1.569 eV per atom

Cell: 5.9258 5.9258 5.9258 Å, 60.00 60.00 60.00°
Sites, in units of the cell vectors:
Cd1 0.1247 0.1247 0.1247
Cd2 0.1247 0.1247 0.6258
Cd3 0.1247 0.6258 0.1247
Cd4 0.6258 0.1247 0.1247
Te1 0.5000 0.5000 0.5000
Se1 0.7500 0.7500 0.7500

[5]
First-principles (PBE-GGA) data for a geometry-optimized CdTeSe2 structure, as listed in Alexandria via LeMat-Bulk.

Calculated values
* N(E_F): 1.5 states/eV per cell
* space group: No. 139
* E: -2.893 eV per atom

Cell: 5.1050 5.1050 5.1050 Å, 110.81 110.81 106.83°
Sites, in units of the cell vectors:
Cd1 0.0000 0.0000 0.0000
Te1 0.5000 0.5000 0.0000
Se1 0.0000 0.5000 0.5000
Se2 0.5000 0.0000 0.5000

[6]
First-principles (PBE-GGA) data for a geometry-optimized Tl2CdTeSe4 structure, as listed in Alexandria via LeMat-Bulk.

Calculated values
* N(E_F): 3.0 states/eV per cell
* space group: No. 74
* E: -3.127 eV per atom

Cell: 8.5883 8.5883 8.5883 Å, 120.62 119.71 89.72°
Sites, in units of the cell vectors:
Tl1 0.0000 0.0000 0.0000
Tl2 0.5000 0.0000 0.0000
Tl3 0.5000 0.0000 0.5000
Tl4 0.5000 0.5000 0.5000
Cd1 0.0000 0.0000 0.5000
Cd2 0.0000 0.5000 0.0000
Te1 0.0000 0.5000 0.5000
Te2 0.5000 0.5000 0.0000
Se1 0.2087 0.7372 0.4715
Se2 0.2342 0.2628 0.9715
Se3 0.2388 0.2603 0.5215
Se4 0.2388 0.7174 0.9785
Se5 0.7612 0.2826 0.0215
Se6 0.7612 0.7397 0.4785
Se7 0.7658 0.7372 0.0285
Se8 0.7913 0.2628 0.5285

[7]
First-principles (PBE-GGA) data for a geometry-optimized TlCdTeSe structure, as listed in Alexandria via LeMat-Bulk.

Calculated values
* N(E_F): 2.7 states/eV per cell
* space group: No. 160
* E: -2.750 eV per atom

Cell: 8.5533 8.5533 8.5533 Å, 30.83 30.83 30.83°
Sites, in units of the cell vectors:
Tl1 0.0000 0.0000 0.0000
Cd1 0.4873 0.4873 0.4873
Te1 0.6051 0.6051 0.6051
Se1 0.1218 0.1218 0.1218

[8]
First-principles (PBE-GGA) data for a geometry-optimized Cd2TeWSe structure, as listed in Alexandria via LeMat-Bulk.

Calculated values
* N(E_F): 4.2 states/eV per cell
* space group: No. 123
* E: -2.951 eV per atom

Cell: 5.5427 5.5427 5.3431 Å, 90.00 90.00 90.00°
Sites, in units of the cell vectors:
Cd1 0.0000 0.5000 0.0000
Cd2 0.5000 0.0000 0.0000
Te1 0.0000 0.0000 0.0000
W1 0.0000 0.0000 0.5000
Se1 0.5000 0.5000 0.5000

[9]
First-principles (PBE-GGA) data for a geometry-optimized Y4CdTe2Se structure, as listed in Alexandria via LeMat-Bulk.

Calculated values
* N(E_F): 3.7 states/eV per cell
* space group: No. 10
* E: -5.723 eV per atom

Cell: 7.5154 4.1765 7.5284 Å, 90.00 108.08 90.00°
Sites, in units of the cell vectors:
Y1 0.2281 0.0000 0.2390
Y2 0.2386 0.5000 0.7490
Y3 0.7614 0.5000 0.2510
Y4 0.7719 0.0000 0.7610
Cd1 0.0000 0.0000 0.5000
Te1 0.5000 0.0000 0.0000
Te2 0.5000 0.5000 0.5000
Se1 0.0000 0.5000 0.0000

[10]
First-principles (PBE-GGA) data for a geometry-optimized ZnCd2Te2Se structure, as listed in Alexandria via LeMat-Bulk.

Calculated values
* space group: No. 36
* E: -2.660 eV per atom

Cell: 7.7645 7.7645 7.2715 Å, 90.00 90.00 59.59°
Sites, in units of the cell vectors:
Zn1 0.1451 0.8549 0.5000
Zn2 0.8549 0.1451 0.0000
Cd1 0.1657 0.5203 0.9786
Cd2 0.4797 0.8343 0.9786
Cd3 0.5203 0.1657 0.4786
Cd4 0.8343 0.4797 0.4786
Te1 0.1648 0.5225 0.3713
Te2 0.4775 0.8352 0.3713
Te3 0.5225 0.1648 0.8713
Te4 0.8352 0.4775 0.8713
Se1 0.1446 0.8554 0.8465
Se2 0.8554 0.1446 0.3465

[11]
First-principles (PBE-GGA) data for a geometry-optimized ZnCdTeSe structure, as listed in Alexandria via LeMat-Bulk.

Calculated values
* space group: No. 160
* energy above the lowest structure with this stoichiometry: 0.000 eV/atom

Cell: 7.5697 7.5697 7.5697 Å, 33.60 33.60 33.60°
Sites, in units of the cell vectors:
Zn1 0.0000 0.0000 0.0000
Cd1 0.4920 0.4920 0.4920
Te1 0.6253 0.6253 0.6253
Se1 0.1159 0.1159 0.1159

[12]
First-principles (PBE-GGA) data for a geometry-optimized ZnCdTeSe structure, as listed in Alexandria via LeMat-Bulk.

Calculated values
* N(E_F): 0.4 states/eV per cell
* space group: No. 156
* energy above the lowest structure with this stoichiometry: 0.067 eV/atom

Cell: 4.3457 4.3457 7.2516 Å, 90.00 90.00 120.00°
Sites, in units of the cell vectors:
Zn1 0.0000 0.0000 0.0000
Cd1 0.6667 0.3333 0.5361
Te1 0.0000 0.0000 0.3680
Se1 0.6667 0.3333 0.9042

[13]
First-principles (PBE-GGA) data for a geometry-optimized ThCdSe2 structure, as listed in Alexandria via LeMat-Bulk.

Calculated values
* space group: No. 166
* E: -4.935 eV per atom

Cell: 10.7977 10.7977 10.7977 Å, 23.07 23.07 23.07°
Sites, in units of the cell vectors:
Th1 0.0000 0.0000 0.0000
Cd1 0.5000 0.5000 0.5000
Se1 0.3819 0.3819 0.3819
Se2 0.6181 0.6181 0.6181